Sm2CoO5 (PBE with a Hubbard U, optimized geometry); E_tot = -235.1 eV for the cell shown; D(E_F) = 9.8 states/eV/cell
1.0
-0.844 2.336 2.902
-1.733 -8.360 6.224
10.855 0.063 3.108
Sm O Co
8 20 4
Cartesian
8.975 -1.212 7.358
3.920 -5.416 9.270
1.702 -1.582 5.539
8.075 -0.196 3.764
6.575 -4.379 6.695
4.357 -0.545 2.963
0.202 -5.765 8.470
-0.698 -4.749 4.876
3.926 -0.571 5.372
5.822 -2.153 7.198
3.669 1.671 3.493
7.343 -0.112 5.998
-0.418 -2.527 5.683
6.690 -6.323 10.806
4.352 -5.390 6.861
0.281 -0.259 4.060
-1.607 -4.778 7.148
4.609 -7.632 8.741
0.934 -5.849 6.236
2.177 -4.422 7.963
8.695 -3.433 6.550
7.997 -5.702 8.173
2.455 -3.808 5.036
9.884 -1.183 5.085
6.013 -4.295 8.977
2.264 -1.666 3.257
6.101 -1.538 4.270
1.587 0.362 1.427
2.670 -5.147 6.177
7.462 -4.978 9.948
5.607 -0.814 6.057
0.815 -0.983 2.285

***

Sm3Co5O12 (PBE with a Hubbard U, optimized geometry); E_tot = -548.1 eV for the cell shown
1.0
10.743 0.000 0.000
-3.581 10.128 0.000
-3.581 -5.064 8.771
O Co Sm
48 20 12
Cartesian
-0.480 0.765 1.743
-0.909 -2.729 6.129
-2.270 5.830 7.028
1.624 6.874 3.552
4.463 -0.924 5.087
4.149 -1.367 8.070
4.490 7.793 2.642
-0.568 3.773 0.834
3.101 -1.405 2.851
-3.415 3.981 8.563
-4.149 -0.077 7.237
4.490 1.411 1.043
3.415 1.810 5.219
0.909 0.924 5.087
-3.101 4.425 4.594
8.043 2.335 2.642
1.311 3.659 5.920
-1.223 0.077 7.237
4.149 1.291 7.938
-1.956 -3.981 8.563
1.223 -1.291 7.938
0.166 3.255 3.552
5.851 -0.765 1.743
2.358 6.355 0.834
-0.568 6.432 0.701
4.061 4.299 7.028
5.537 9.045 0.209
1.223 1.367 8.070
0.480 6.469 5.920
7.730 5.141 1.535
7.328 -2.171 5.428
1.956 -1.810 5.219
-1.311 -0.639 4.177
5.537 2.893 3.343
-1.956 2.171 5.428
2.270 1.405 2.851
-0.882 5.988 3.685
-2.699 8.717 1.043
-0.909 3.653 7.729
2.358 3.697 0.701
6.280 -3.653 7.729
4.891 5.704 4.594
6.996 1.083 0.209
-4.463 2.729 6.129
-3.747 7.235 3.343
4.804 4.987 1.535
2.672 4.141 3.685
6.682 0.639 4.177
-0.895 0.633 5.482
1.790 2.532 4.386
0.000 0.000 0.000
4.476 -3.165 7.675
-0.895 8.229 1.096
-2.686 5.697 3.289
3.581 5.064 0.000
5.371 0.000 0.000
6.267 -0.633 5.482
4.476 2.532 6.579
-1.790 5.064 0.000
3.581 -2.532 4.386
2.686 7.596 2.193
0.895 3.165 7.675
4.476 4.431 3.289
0.895 -2.532 6.579
-3.581 2.532 4.386
2.686 1.899 1.096
-1.790 -2.532 4.386
-0.895 2.532 2.193
-4.476 5.064 6.579
6.267 3.165 1.096
0.895 5.064 2.193
-0.895 4.431 5.482
-2.686 1.899 7.675
4.476 0.633 3.289
8.057 0.000 2.193
-2.686 -1.899 7.675
2.686 0.000 6.579
2.686 5.697 5.482
0.895 -0.633 3.289
6.267 6.963 1.096

***

Sm2CoO3 (PBE with a Hubbard U, optimized geometry); E_tot = -218.4 eV for the cell shown; D(E_F) = 1.6 states/eV/cell
1.0
-6.033 3.539 -0.549
-2.656 1.848 -5.812
-7.242 -10.657 1.248
O Co Sm
15 5 10
Cartesian
-5.606 1.679 -3.921
-2.597 -1.271 -2.298
-5.687 2.096 -0.531
-10.680 -5.768 -1.179
-7.925 -3.271 -2.547
-12.802 -5.346 -4.553
-10.971 -3.069 -2.689
-7.820 -0.539 -4.276
-4.963 -0.819 -5.444
-7.901 -5.083 -0.215
-5.483 -0.977 -2.075
-10.047 -8.068 -2.690
-13.541 -5.871 -1.344
-10.831 -0.485 -4.039
-4.871 -5.247 0.361
-9.394 0.733 -3.615
-3.776 1.722 -0.777
-8.022 -5.170 -3.701
-1.922 0.550 -1.492
-12.499 -3.517 -3.804
-9.416 -2.394 -4.181
-12.007 -6.785 -2.861
-12.272 -6.242 0.577
-8.911 -7.227 -0.831
-3.640 0.429 -3.837
-6.138 -2.181 -3.990
-6.829 0.872 -2.107
-9.714 -3.739 -0.928
-3.978 -1.185 -0.222
-6.077 -4.720 -1.612

***

Sm4Co6O19 (PBE with a Hubbard U, optimized geometry); E_tot = -191.8 eV for the cell shown; D(E_F) = 6.0 states/eV/cell
1.0
6.998 0.000 -2.474
-3.499 6.060 -2.474
0.000 0.000 7.422
O Sm Co
19 4 6
Cartesian
3.376 2.348 2.098
5.113 0.236 0.740
-1.235 2.138 1.746
-0.395 3.712 0.010
4.237 4.310 -1.734
2.093 4.098 -0.374
-0.086 4.546 -2.464
1.147 1.514 3.214
-1.097 5.824 2.100
2.469 0.000 1.746
0.000 0.000 0.000
2.264 3.922 -3.202
1.235 2.138 -1.746
-0.997 2.198 4.574
3.844 1.962 4.572
-2.264 3.922 3.202
4.529 0.000 3.202
3.276 1.750 -0.376
0.481 3.862 2.484
0.000 0.000 4.984
1.150 1.991 0.813
4.699 0.000 -1.661
-2.349 4.069 -1.661
0.555 5.099 -0.785
-1.195 3.991 1.689
4.693 2.069 0.785
0.640 3.030 4.163
2.944 0.961 3.259
2.859 3.030 -1.689

***

Sm2CoO (PBE with a Hubbard U, optimized geometry); E_tot = -22.3 eV for the cell shown; D(E_F) = 2.6 states/eV/cell
1.0
-3.172 -1.235 -0.732
-1.368 -2.546 1.942
-4.921 4.466 5.509
Co Sm O
1 2 1
Cartesian
0.000 0.000 0.000
-5.671 -1.880 2.904
-3.790 2.565 3.814
-4.731 0.343 3.359

***

Sm3CoO6 (PBE with a Hubbard U, optimized geometry); relative energy among the computed polymorphs = 125 meV/atom
1.0
5.529 0.000 -0.307
0.000 5.700 0.000
-0.364 0.000 8.918
Sm Co O
6 2 12
Cartesian
0.099 3.158 2.141
5.065 2.542 6.470
2.681 5.392 6.447
2.764 2.850 -0.153
-0.182 0.000 4.459
2.483 0.308 2.164
0.000 0.000 0.000
2.582 2.850 4.306
3.573 1.316 4.881
4.174 4.166 8.035
1.417 4.580 0.644
1.685 3.274 6.612
3.479 2.426 1.999
1.592 4.384 3.730
0.990 1.534 0.576
3.748 1.120 7.967
4.632 5.276 1.999
0.533 0.424 6.612
3.999 3.970 4.949
1.165 1.730 3.662

***

Sm3CoO6 (PBE with a Hubbard U, optimized geometry); relative energy among the computed polymorphs = 0 meV/atom; D(E_F) = 0.0 states/eV/cell
1.0
-0.024 1.653 -5.312
5.075 -5.033 -1.588
-6.264 -3.628 -1.101
Sm O Co
6 12 2
Cartesian
0.555 -2.947 -6.308
-1.776 -3.483 -3.551
0.264 -6.334 -4.732
0.987 -1.067 -3.096
-1.487 0.065 -5.646
-2.210 -5.203 -7.281
-3.120 -2.352 -1.783
4.572 -3.882 -5.074
-0.587 -1.765 -4.637
2.279 -2.196 -4.672
-5.781 -3.424 -1.973
1.910 -4.879 -5.505
-3.833 -2.810 -4.811
-0.243 -2.632 -1.995
2.624 -4.435 -2.433
-0.624 -5.402 -2.855
-0.967 -4.535 -5.497
-3.488 -5.034 -2.616
2.949 -3.938 -4.175
-4.150 -3.883 -1.213

***

SmCo2SnO6 (PBE with a Hubbard U, optimized geometry); E_tot = -66.2 eV for the cell shown
1.0
5.430 -0.031 0.029
2.688 4.639 0.021
2.731 1.543 4.874
O Sn Co Sm
6 1 2 1
Cartesian
4.607 1.425 1.180
5.964 4.526 3.706
4.385 4.605 1.189
6.444 1.852 3.729
3.830 2.803 3.766
7.306 3.210 1.162
2.726 1.533 0.292
5.436 3.097 2.057
2.712 1.559 4.637
8.128 4.604 2.957

***

SrSmCoO4 (PBE with a Hubbard U, optimized geometry); relative energy among the computed polymorphs = 0 meV/atom; D(E_F) = 0.6 states/eV/cell
1.0
6.781 0.002 0.000
4.646 4.939 0.000
-5.714 -2.470 2.689
O Co Sr Sm
4 1 1 1
Cartesian
9.566 4.136 0.000
2.014 0.871 0.000
5.066 3.655 1.345
6.133 1.186 1.345
0.023 0.010 0.000
7.357 3.181 0.000
4.123 1.783 0.000

***

SrSmCoO4 (PBE with a Hubbard U, optimized geometry); relative energy among the computed polymorphs = 22 meV/atom; D(E_F) = 2.3 states/eV/cell
1.0
-6.184 2.807 0.276
2.237 -6.418 -0.083
0.247 0.017 5.374
Sm Co O Sr
2 2 8 2
Cartesian
-0.835 -2.836 4.087
-2.864 -0.758 1.481
-3.898 0.519 4.217
0.199 -4.113 1.350
-5.251 2.002 4.274
-3.092 1.404 0.138
-2.968 1.412 2.825
-2.386 -1.137 4.153
1.552 -5.595 1.293
1.242 -3.200 2.646
-1.314 -2.456 1.415
1.119 -3.209 -0.041
1.546 -5.445 3.985
-5.245 1.851 1.582

***

Sr3SmCo2O8 (PBE with a Hubbard U, optimized geometry); E_tot = -90.3 eV for the cell shown; D(E_F) = 1.7 states/eV/cell
1.0
-2.860 1.920 5.776
0.691 -5.998 -2.963
4.717 -0.730 2.578
Sr Sm O Co
3 1 8 2
Cartesian
-0.584 -3.154 0.176
0.013 0.409 5.800
-1.595 -0.902 2.662
2.568 -5.290 -0.490
1.886 -3.769 1.189
0.125 -4.736 -1.570
-2.307 0.687 4.416
2.959 -1.490 2.644
0.717 -1.161 4.068
0.668 -1.135 1.392
1.843 -3.589 4.093
-0.449 -3.234 2.840
-2.856 1.912 5.768
1.281 -2.421 2.677

***

SmCo2TeO6 (PBE with a Hubbard U, optimized geometry); E_tot = -63.5 eV for the cell shown; D(E_F) = 0.0 states/eV/cell
1.0
-1.595 -5.354 0.116
-0.608 -2.848 -4.772
3.381 -3.953 -1.352
O Sm Co Te
6 1 2 1
Cartesian
-0.331 -4.756 -4.307
1.266 -7.248 -1.825
1.496 -6.887 -4.327
1.982 -4.981 -2.721
-1.111 -7.226 -3.312
-0.566 -5.136 -1.562
0.785 -9.085 -4.516
0.347 -6.008 -3.014
3.172 -3.892 -1.364
-0.354 -2.843 -1.535

***

SmV2CoO8 (PBE with a Hubbard U, optimized geometry); E_tot = -87.3 eV for the cell shown; D(E_F) = 0.0 states/eV/cell
1.0
-0.919 -3.046 -4.768
-3.378 -0.743 4.571
-3.556 4.134 -1.956
O Sm V Co
8 1 2 1
Cartesian
-5.965 0.198 -0.782
-5.484 1.794 1.715
-4.138 -1.838 -1.474
-2.368 -1.449 -3.868
-3.715 2.183 -0.679
-3.737 -0.140 0.810
-4.115 0.485 -2.963
-1.887 0.147 -1.371
0.000 0.000 0.000
-3.121 -0.671 -2.415
-4.731 1.016 0.262
-1.778 2.067 -0.978

***

Sm2VCoO6 (PBE with a Hubbard U, optimized geometry); E_tot = -153.7 eV for the cell shown
1.0
-2.277 4.369 -2.052
-4.896 -2.777 -0.478
-1.976 2.279 6.999
O Co Sm V
12 2 4 2
Cartesian
-5.154 3.076 -0.347
-2.351 1.312 2.661
-4.174 3.476 2.238
-3.995 0.795 4.814
-4.902 4.395 5.093
-6.798 2.559 1.807
-7.174 0.800 3.967
-4.975 0.394 2.230
-1.976 3.070 0.501
-1.515 0.455 -0.183
-4.248 -0.524 -0.625
-7.634 3.415 4.651
-3.436 -0.249 3.260
-1.139 2.184 -1.026
-5.411 2.410 3.919
-3.738 1.461 0.549
-4.022 5.830 3.202
-5.128 -1.959 1.266
-2.448 -1.388 -0.239
-2.127 3.324 2.473

***

CoSnO (PBE with a Hubbard U, optimized geometry); relative energy among the computed polymorphs = 252 meV/atom; D(E_F) = 1.5 states/eV/cell
1.0
-2.057 -2.477 -1.316
-0.106 -1.980 3.890
-2.768 1.839 0.865
Sn O Co
1 1 1
Cartesian
-2.988 0.655 1.508
-2.687 -2.495 2.362
-1.658 -1.257 3.019

***

CoSnO (PBE with a Hubbard U, optimized geometry); relative energy among the computed polymorphs = 69 meV/atom; D(E_F) = 0.6 states/eV/cell
1.0
3.097 0.083 -0.202
3.230 5.118 -0.310
-0.133 3.495 3.627
Co O Sn
1 1 1
Cartesian
3.268 5.670 1.515
4.816 6.795 1.861
1.586 3.588 2.960